Record 1
Density functional theory data (PBE) for a relaxed structure of ScReAs2.

Cell lengths 6.3858, 6.3858, 6.3858 Å; angles 90.00, 90.00, 90.00 degrees
Closest atoms and distances in Å follow each position.
Space group Fm-3m (No. 225)
Asymmetric unit:
Sc 0.0000 0.0000 0.0000 x4  8 As 2.77
Re 0.0000 0.0000 0.5000 x4  8 As 2.77
As 0.2500 0.2500 0.2500 x8  4 Re 2.77, 4 Sc 2.77

Output
Its formation energy is -0.35 eV/atom.

***

Record 2
Density functional theory data (PBE) for a relaxed structure of CoSiPt2.

Cell lengths 2.7795, 3.6531, 5.4264 Å; angles 90.00, 90.00, 90.00 degrees
Closest atoms and distances in Å follow each position.
Space group Pmmm (No. 47)
Asymmetric unit:
Co 0.0000 0.0000 0.0000 x1  8 Pt 2.66, 2 Si 2.71, 2 Co 2.78
Si 0.0000 0.0000 0.5000 x1  8 Pt 2.67, 2 Co 2.71, 2 Si 2.78
Pt 0.5000 0.5000 0.2493 x2  4 Co 2.66, 4 Si 2.67, 4 Pt 2.71-2.78

Output
The value obtained for the raw formation energy is -0.222 eV per atom.

***

Record 3
Density functional theory data (PBE) for a relaxed structure of CaCdCl2.

Cell lengths 7.4166, 7.4166, 7.4166 Å; angles 90.00, 90.00, 90.00 degrees
Closest atoms and distances in Å follow each position.
Space group F-43m (No. 216)
Asymmetric unit:
Ca 0.0000 0.0000 0.0000 x4  4 Cd 3.21, 4 Cl 3.21
Cd 0.2500 0.2500 0.2500 x4  4 Cl 3.21, 4 Ca 3.21
Cl 0.0000 0.0000 0.5000 x4  4 Cl 3.21, 4 Cd 3.21
Cl 0.2500 0.2500 0.7500 x4  4 Cl 3.21, 4 Ca 3.21

Output
The value obtained for the raw formation energy is -1.013 eV per atom.

***

Record 4
Density functional theory data (PBE) for a relaxed structure of Rb2Se3Cl8.

Cell lengths 13.0760, 6.7647, 9.2346 Å; angles 90.00, 96.23, 90.00 degrees
Closest atoms and distances in Å follow each position.
Space group C2/m (No. 12)
Asymmetric unit:
Rb 0.1921 0.0000 0.1681 x4  4 Cl 3.23-3.51
Se 0.0000 0.3402 0.5000 x4  1 Se 2.16
Se 0.0000 0.5000 0.0000 x2  6 Cl 2.43
Cl 0.0576 0.2487 0.8391 x8  1 Se 2.43
Cl 0.1409 0.0000 0.5022 x4  2 Se 2.95, 1 Rb 3.23
Cl 0.1698 0.5000 0.1371 x4  1 Se 2.43

Output
The value obtained for the raw formation energy is -0.715 eV per atom.

***

Record 5
Density functional theory data (PBE) for a relaxed structure of CaMgSe2N.

Cell lengths 5.2179, 5.2179, 4.1026 Å; angles 90.00, 90.00, 90.00 degrees
Closest atoms and distances in Å follow each position.
Space group P4/mmm (No. 123)
Asymmetric unit:
Ca 0.0000 0.0000 0.0000 x1  8 Se 3.32, 4 N 3.69
Mg 0.5000 0.5000 0.5000 x1  2 N 2.05
Se 0.0000 0.5000 0.5000 x2  2 Mg 2.61
N 0.5000 0.5000 0.0000 x1  2 Mg 2.05

Output
The value obtained for the raw formation energy is -0.258 eV per atom.

***

Record 6
Density functional theory data (PBE) for a relaxed structure of Co2RuPb.

Cell lengths 4.0156, 4.0156, 3.6911 Å; angles 90.00, 90.00, 90.00 degrees
Closest atoms and distances in Å follow each position.
Space group P4/mmm (No. 123)
Asymmetric unit:
Co 0.0000 0.5000 0.0000 x2  4 Pb 2.73, 4 Ru 2.73, 4 Co 2.84
Ru 0.0000 0.0000 0.5000 x1  8 Co 2.73, 4 Pb 2.84
Pb 0.5000 0.5000 0.5000 x1  8 Co 2.73, 4 Ru 2.84

Output
Its formation energy is 0.51 eV/atom.

***

Record 7
Density functional theory data (PBE) for a relaxed structure of CsP2SCl.

Cell lengths 4.9589, 4.9589, 5.6388 Å; angles 90.00, 90.00, 90.00 degrees
Closest atoms and distances in Å follow each position.
Space group P4/mmm (No. 123)
Asymmetric unit:
Cs 0.0000 0.0000 0.0000 x1  4 S 3.51, 8 P 3.75
P 0.0000 0.5000 0.5000 x2  2 Cl 2.48
S 0.5000 0.5000 0.0000 x1  2 Cl 2.82
Cl 0.5000 0.5000 0.5000 x1  4 P 2.48

Output
The value obtained for the raw formation energy is 0.832 eV per atom.

***

Record 8
Density functional theory data (PBE) for a relaxed structure of ZnTcSe2.

Cell lengths 3.1970, 4.4109, 4.7598 Å; angles 90.00, 90.00, 90.00 degrees
Closest atoms and distances in Å follow each position.
Space group Pmmm (No. 47)
Asymmetric unit:
Zn 0.0000 0.0000 0.0000 x1  8 Se 2.72-2.87
Tc 0.0000 0.5000 0.5000 x1  8 Se 2.72-2.87
Se 0.5000 0.0000 0.5000 x1  4 Tc 2.72, 4 Zn 2.87
Se 0.5000 0.5000 0.0000 x1  4 Zn 2.72, 4 Tc 2.87

Output
The value obtained for the raw formation energy is 0.320 eV per atom.

***

Record 9
Density functional theory data (PBE) for a relaxed structure of LaSm2PuP4.

Cell lengths 7.1317, 4.1274, 7.1374 Å; angles 90.00, 109.48, 90.00 degrees
Closest atoms and distances in Å follow each position.
Space group P2/m (No. 10)
Asymmetric unit:
La 0.0000 0.0000 0.0000 x1  6 P 2.95
Sm 0.5000 0.0000 0.5000 x1  6 P 2.88
Sm 0.5000 0.5000 0.0000 x1  6 P 2.96
Pu 0.0000 0.5000 0.5000 x1  6 P 2.87
P 0.2452 0.0000 0.7396 x2  2 Pu 2.87, 3 Sm 2.88-2.96, 1 La 2.95
P 0.2517 0.5000 0.2591 x2  1 Pu 2.87, 3 Sm 2.88-2.96, 2 La 2.95

Output
Its formation energy is -1.44 eV/atom.

***

Record 10
Density functional theory data (PBE) for a relaxed structure of CsNaPdCl6.

Cell lengths 6.9057, 11.9848, 7.4937 Å; angles 90.00, 90.08, 90.00 degrees
Closest atoms and distances in Å follow each position.
Space group C2 (No. 5)
Asymmetric unit:
Cs 0.0000 0.0000 0.0000 x2  6 Cl 3.50
Na 0.0000 0.3336 0.5000 x2  6 Cl 2.83
Pd 0.0000 0.6666 0.5000 x2  6 Cl 2.35
Cl 0.1309 0.5258 0.3175 x4  1 Pd 2.35
Cl 0.1451 0.8027 0.3175 x4  1 Pd 2.35
Cl 0.2219 0.1713 0.3184 x4  1 Pd 2.35

Output
The value obtained for the raw formation energy is -1.065 eV per atom.

***

Record 11
Density functional theory data (PBE) for a relaxed structure of RbY2Cu2Se4.

Cell lengths 15.3915, 3.8147, 9.2816 Å; angles 90.00, 114.71, 90.00 degrees
Closest atoms and distances in Å follow each position.
Space group C2/m (No. 12)
Asymmetric unit:
Rb 0.0000 0.0000 0.0000 x2  6 Se 3.43-3.49, 2 Rb 3.81
Y 0.1136 0.0000 0.5973 x4  6 Se 2.88-3.06, 3 Cu 3.08-3.10, 1 Y 3.20
Cu 0.1885 0.5000 0.4113 x4  4 Se 2.52-2.62, 2 Cu 2.71
Se 0.0093 0.5000 0.3213 x4  1 Cu 2.53
Se 0.2327 0.0000 0.2777 x4  3 Cu 2.52-2.62

Output
The value obtained for the raw formation energy is -1.092 eV per atom.

***

Record 12
Density functional theory data (PBE) for a relaxed structure of Ta3Tc.

Cell lengths 3.2293, 4.5657, 9.3067 Å; angles 90.00, 90.00, 90.00 degrees
Closest atoms and distances in Å follow each position.
Space group Immm (No. 71)
Asymmetric unit:
Ta 0.0000 0.0000 0.0000 x2  4 Tc 2.80, 4 Ta 2.90
Ta 0.0000 0.5000 0.2411 x4  2 Tc 2.76, 6 Ta 2.80-2.90
Tc 0.0000 0.0000 0.5000 x2  8 Ta 2.76-2.80

Output
Its formation energy is -0.26 eV/atom.

***

The following E values (in eV per atom) correspond, in order, to the records above: -7.372 -6.375 -2.666 -2.805 -4.036 -6.285 -2.698 -4.332 -7.733 -3.114 -5.095 -11.745.